A | ## ScCuPd6 (PBE-GGA)

Data for crystalline ScCuPd6 at its relaxed geometry.

The space group is P4/mmm (No. 123) and the conventional cell measures 3.9481, 3.9481 and 7.9423 Å, with angles of 90.00, 90.00 and 90.00 degrees. The distinct sites, in fractional coordinates, are Sc at (0.0000, 0.0000, 0.0000), Cu at (0.0000, 0.0000, 0.5000), Pd at (0.0000, 0.5000, 0.2564), Pd at (0.5000, 0.5000, 0.0000) and Pd at (0.5000, 0.5000, 0.5000).



B | ## ScCuPd6 (PBE-GGA)

Data for crystalline ScCuPd6 at its relaxed geometry.

The space group is C2/m (No. 12) and the conventional cell measures 7.8836, 5.2755 and 7.2139 Å, with angles of 90.00, 110.41 and 90.00 degrees. The distinct sites, in fractional coordinates, are Sc at (0.0000, 0.0000, 0.0000), Cu at (0.0000, 0.5000, 0.5000), Pd at (0.1488, 0.0000, 0.4417) and Pd at (0.1906, 0.2450, 0.7994).



Looking at the structures above, A is most stable, and the difference to the next one is 298 meV per atom.